No. 1
## Rb2YUSe4 (PBE-GGA)

Data for a relaxed structure of Rb2YUSe4.

Geometry as extended XYZ:
```
8
Lattice="7.3746 0.0000 0.0000 0.0000 4.2588 0.0000 -2.4615 0.0000 8.0265" Properties=species:S:1:pos:R:3 pbc="T T T"
Rb 0.0000 0.0000 0.0000
Rb 3.6873 2.1294 0.0000
Y -1.2308 2.1294 4.0133
U 2.4565 0.0000 4.0133
Se -0.0151 0.0000 5.5949
Se 1.2172 2.1294 2.4282
Se 3.6959 2.1294 5.5983
Se 4.9282 0.0000 2.4316
```

Properties
**ΔE_f (raw)**: -1.462 eV per atom
**Magnetization**: 3.01 Bohr magnetons per cell
**Density**: 5.4 g cm⁻³



No. 2
## BePb2 (PBE-GGA)

Data for a relaxed structure of BePb2.

Geometry as extended XYZ:
```
6
Lattice="-3.6633 3.6633 2.6844 3.6633 -3.6633 2.6844 3.6633 3.6633 -2.6844" Properties=species:S:1:pos:R:3 pbc="T T T"
Be 0.0000 0.0000 1.3422
Be 0.0000 0.0000 4.0267
Pb 4.8638 1.2005 0.0000
Pb 1.2005 2.4628 0.0000
Pb 2.4628 1.2005 2.6844
Pb -1.2005 2.4628 2.6844
```

Properties
**Energy above the most stable polymorph in this dataset**: 131 meV per atom
**Magnetization**: 0.00 Bohr magnetons per cell
**Density**: 9.8 g cm⁻³
**Formation energy from the elements**: 0.419 eV/atom